The following is a GGA-PBEsol calculation of a relaxed structure of BeCoAs2, from the Alexandria database.

Output
The value obtained for the energy relative to the elements is 0.318 eV/atom. Its space-group type is I-4m2. The crystal system is tetragonal. The calculation puts the volume at 53 Å³ per cell.

a = 3.573 Å, b = 3.573 Å, c = 4.834 Å
α = 111.69°, β = 111.69°, γ = 90.00°
Fractional positions:
Be 0.500 0.500 0.000
As 0.000 0.000 0.000
As 0.750 0.250 0.500
Co 0.250 0.750 0.500